A plane-wave DFT calculation with GGA-PBEsol was carried out for RbMgScIr2 after structural relaxation.

Structure (extended XYZ):
```
5
Lattice="-2.597 -3.736 -1.408 3.986 -2.517 -0.673 -0.226 -1.617 4.709" Properties=species:S:1:pos:R:3 pbc="T T T"
Mg 0.000 0.000 0.000
Rb 0.582 -3.935 1.314
Ir 1.993 -1.259 -0.336
Ir -1.298 -1.868 -0.704
Sc -0.113 -0.809 2.354
```

Results
Energy of formation, meV/atom: 1220
SG: No. 123
M_tot, Bohr magnetons per cell: 0.0
Mass density, g/cm3: 7.92